The following is a DFT calculation (PBE) of a relaxed KLaRe3 crystal.

Cell: 5.0054 5.0054 5.0054 Å, 90.00 90.00 90.00°
Fractional coordinates of all 5 atoms:
Re  0.5000  0.0000  0.0000
La  0.0000  0.0000  0.0000
Re  0.0000  0.0000  0.5000
Re  0.0000  0.5000  0.0000
K  0.5000  0.5000  0.5000

Summary:
The value obtained for the magnetic moment is 0.0 μB per cell. For the energy of formation, the calculation gives 280.1 kJ/mol of atoms.

---

The following is a DFT calculation (PBE) of a relaxed Mn2FeRh crystal.

Cell: 4.9251 4.9251 4.9251 Å, 145.56 130.38 61.80°
Last column: magnetic moment on the atom in μB.
Fractional coordinates of all 4 atoms:
Fe  0.7507  0.2507  0.5000  2.34
Mn  0.9999  0.9999  0.0000  2.84
Rh  0.4992  0.4992  0.0000  0.51
Mn  0.2503  0.7503  0.5000  2.27

Summary:
The value obtained for the magnetic moment is 8.0 μB per cell. For the energy of formation, the calculation gives 9.3 kJ/mol of atoms.

---

The following is a DFT calculation (PBE) of a relaxed KZnCl crystal.

Cell: 5.3968 5.3968 5.3968 Å, 60.00 60.00 60.00°
Fractional coordinates of all 3 atoms:
Cl  0.5000  0.5000  0.5000
Zn  0.0000  0.0000  0.0000
K  0.7500  0.7500  0.7500

Summary:
The value obtained for the magnetic moment is 0.0 μB per cell. As for the formation energy without anion corrections: -0.78 eV/atom.